Density functional theory data (PBE-GGA) for a relaxed structure of Nd2ThMnN4.

Properties
- Space-group type: No. 63
- Theoretical density: 8.37 g/cm3
- ΔE_f (raw): -1.060 eV per atom

Cell lengths 3.515, 6.119, 12.171 Å; angles 90.00, 90.00, 106.69 degrees
Each line ends with the local moment (μB).
Element x y z (fractional)
N (0.555, 0.110, 0.250)  0.00
N (0.721, 0.441, 0.864)  0.04
N (0.279, 0.559, 0.364)  0.04
N (0.000, 0.000, 0.500)  0.05
N (0.721, 0.441, 0.636)  0.04
N (0.000, 0.000, 0.000)  0.05
N (0.279, 0.559, 0.136)  0.04
N (0.445, 0.890, 0.750)  0.00
Mn (0.165, 0.330, 0.250)  3.31
Mn (0.835, 0.670, 0.750)  3.31
Th (0.103, 0.207, 0.750)  0.14
Th (0.897, 0.793, 0.250)  0.14
Nd (0.631, 0.262, 0.451)  0.06
Nd (0.631, 0.262, 0.049)  0.06
Nd (0.369, 0.738, 0.951)  0.06
Nd (0.369, 0.738, 0.549)  0.06